Below is AcGe12Rh4 after structural relaxation, with properties calculated at the PBE level.

Cell and atoms, written as POSCAR:
```
AcGe12Rh4
1.0
-4.6616 3.7259 4.5975
0.5250 -7.1755 2.2329
6.8172 3.1989 0.2053
Ge Rh Ac
12 4 1
Direct
0.4912 0.8441 0.6471
0.8441 0.6471 0.4912
0.6471 0.8030 0.1559
0.8030 0.1559 0.6471
0.1970 0.8441 0.3529
0.8441 0.3529 0.1970
0.3529 0.1970 0.8441
0.1559 0.3529 0.5088
0.3529 0.5088 0.1559
0.5088 0.1559 0.3529
0.1559 0.6471 0.8030
0.6471 0.4912 0.8441
0.0000 0.5000 0.0000
0.5000 0.5000 0.5000
0.0000 0.0000 0.5000
0.5000 0.0000 0.0000
0.0000 0.0000 0.0000
```

E in eV/atom: -5.5376
Total magnetization in μB/f.u.: 0.0